1.
Entry from Alexandria via LeMat-Bulk: crystalline ZnMo2Au at its relaxed geometry (GGA-PBE).

POSCAR file:
```
ZnMo2Au
1.0
2.699 0.000 0.000
0.000 4.151 0.000
0.000 0.000 5.722
Mo Au Zn
2 1 1
Direct
0.500 0.500 0.247
0.000 0.000 0.015
0.500 0.500 0.739
0.000 0.000 0.499
```

Output
* crystal system: orthorhombic
* DFT formation energy: 189 meV/atom
* raw total energy: -6.3648 eV per atom
* total moment: 0.000 μB per atom
* space-group type: No. 25

2.
Entry from Alexandria via LeMat-Bulk: crystalline LaCeEr2S4 at its relaxed geometry (GGA-PBE).

POSCAR file:
```
LaCeEr2S4
1.0
3.933 0.000 0.000
0.000 6.842 0.124
0.000 -2.385 6.576
Er La S Ce
2 1 4 1
Direct
0.500 0.000 0.500
0.000 0.500 0.500
0.000 0.000 0.000
0.000 0.753 0.269
0.000 0.247 0.731
0.500 0.260 0.272
0.500 0.740 0.728
0.500 0.500 0.000
```

Output
* E_form (uncorrected): -2.04 eV per atom
* crystal system: monoclinic
* raw total energy: -6.6003 eV per atom
* total moment: 0.107 μB per atom
* space-group type: No. 10

3.
Entry from Alexandria via LeMat-Bulk: crystalline ScBeNi6 at its relaxed geometry (GGA-PBE).

POSCAR file:
```
ScBeNi6
1.0
-5.430 2.498 -1.674
-0.274 -2.585 5.637
2.804 8.933 4.233
Ni Be Sc
24 4 4
Direct
0.865 0.605 0.866
0.250 0.750 0.515
0.500 0.500 0.750
0.393 0.152 0.386
0.750 0.250 0.985
0.500 0.500 0.250
0.135 0.395 0.634
0.395 0.135 0.866
0.135 0.395 0.866
0.848 0.607 0.386
0.152 0.393 0.114
0.395 0.135 0.634
0.607 0.848 0.386
0.250 0.750 0.985
0.152 0.393 0.386
0.750 0.250 0.515
0.607 0.848 0.114
0.865 0.605 0.634
0.000 0.000 0.750
0.605 0.865 0.634
0.000 0.000 0.250
0.605 0.865 0.866
0.393 0.152 0.114
0.848 0.607 0.114
0.500 0.500 0.515
0.231 0.769 0.750
0.769 0.231 0.750
0.500 0.500 0.985
0.000 0.000 0.995
0.762 0.238 0.250
0.238 0.762 0.250
0.000 0.000 0.505
```

Output
* crystal system: orthorhombic
* DFT formation energy: -252 meV/atom
* raw total energy: -5.8448 eV per atom
* total moment: 0.213 μB per atom
* space-group type: No. 65

Question: Which value of raw total energy does entry 3 give?
Answer: -5.8448 eV per atom